(w)
## LiReN2F (PBE)

Data for crystalline LiReN2F at its relaxed geometry.

Lattice parameters (Å, degrees): 3.754 3.754 3.070 90.00 90.00 90.00
Positions (direct):
Re1 0.500 0.500 0.500
N1 0.000 0.500 0.000
N2 0.500 0.000 0.000
Li1 0.000 0.000 0.000
F1 0.000 0.000 0.500

Computed properties:
Its space group is P4/mmm, No. 123. The magnetic moment is 0.0 μB/cell.

***

(x)
## LiReN2F (PBE)

Data for crystalline LiReN2F at its relaxed geometry.

Lattice parameters (Å, degrees): 3.860 3.860 4.171 90.00 90.00 90.00
Positions (direct):
Re1 0.000 0.000 0.000
N1 0.000 0.500 0.000
N2 0.500 0.000 0.000
Li1 0.500 0.500 0.500
F1 0.000 0.000 0.500

Computed properties:
Its space group is P4/mmm, No. 123. The magnetic moment is 0.0 μB/cell.

***

In order of decreasing stability: (x), (w).

***

(w)
## LiSbN2F (PBE)

Data for crystalline LiSbN2F at its relaxed geometry.

Lattice parameters (Å, degrees): 3.986 3.986 4.306 90.00 90.00 90.00
Positions (direct):
Sb1 0.000 0.000 0.000
N1 0.000 0.500 0.000
N2 0.500 0.000 0.000
Li1 0.500 0.500 0.500
F1 0.000 0.000 0.500

Computed properties:
Its space group is P4/mmm, No. 123. The magnetic moment is 0.5 μB/cell.

***

(x)
## LiSbN2F (PBE)

Data for crystalline LiSbN2F at its relaxed geometry.

Lattice parameters (Å, degrees): 3.848 3.848 3.541 90.00 90.00 90.00
Positions (direct):
Sb1 0.500 0.500 0.500
N1 0.000 0.500 0.000
N2 0.500 0.000 0.000
Li1 0.000 0.000 0.000
F1 0.000 0.000 0.500

Computed properties:
Its space group is P4/mmm, No. 123. The magnetic moment is 0.9 μB/cell.

***

In order of decreasing stability: (w), (x).

***

(w)
## LiScNF2 (PBE)

Data for crystalline LiScNF2 at its relaxed geometry.

Lattice parameters (Å, degrees): 4.111 4.111 4.204 90.00 90.00 90.00
Positions (direct):
Sc1 0.000 0.000 0.000
N1 0.000 0.000 0.500
Li1 0.500 0.500 0.500
F1 0.000 0.500 0.000
F2 0.500 0.000 0.000

Computed properties:
Its space group is P4/mmm, No. 123. The magnetic moment is 1.0 μB/cell.

***

(x)
## LiScNF2 (PBE)

Data for crystalline LiScNF2 at its relaxed geometry.

Lattice parameters (Å, degrees): 3.448 3.448 4.181 90.00 90.00 90.00
Positions (direct):
Sc1 0.500 0.500 0.500
N1 0.000 0.000 0.500
Li1 0.000 0.000 0.000
F1 0.000 0.500 0.000
F2 0.500 0.000 0.000

Computed properties:
Its space group is P4/mmm, No. 123. The magnetic moment is 1.0 μB/cell.

***

In order of decreasing stability: (w), (x).

***

(w)
## LiSe2NF (PBE)

Data for crystalline LiSe2NF at its relaxed geometry.

Lattice parameters (Å, degrees): 4.540 4.540 3.523 90.00 90.00 90.00
Positions (direct):
N1 0.000 0.000 0.500
Li1 0.000 0.000 0.000
Se1 0.000 0.500 0.000
Se2 0.500 0.000 0.000
F1 0.500 0.500 0.500

Computed properties:
Its space group is P4/mmm, No. 123. The magnetic moment is 0.0 μB/cell.

***

(x)
## LiSe2NF (PBE)

Data for crystalline LiSe2NF at its relaxed geometry.

Lattice parameters (Å, degrees): 4.469 4.469 4.954 90.00 90.00 90.00
Positions (direct):
N1 0.000 0.000 0.500
Li1 0.500 0.500 0.500
Se1 0.000 0.500 0.000
Se2 0.500 0.000 0.000
F1 0.000 0.000 0.000

Computed properties:
Its space group is P4/mmm, No. 123. The magnetic moment is 3.0 μB/cell.

***

In order of decreasing stability: (x), (w).